No. 1
Here is a relaxed HfOs2RhW crystal from the Alexandria database. Energies are from PBE.

abc: 4.676 4.676 4.628
angles: 90.00 90.00 90.00
Fractional coordinates of all 5 atoms:
Hf 0.000 0.000 0.000
Os 0.000 0.500 0.500
Os 0.500 0.000 0.500
Rh 0.500 0.500 0.500
W 0.500 0.500 0.000

Properties
Spin magnetization: 0.00 μB/atom
Electronic total energy: -8.778 eV per atom

***

No. 2
Here is a relaxed YHfOsRh crystal from the Alexandria database. Energies are from PBE.

abc: 4.718 4.718 4.718
angles: 60.00 60.00 60.00
Fractional coordinates of all 4 atoms:
Y 0.000 0.000 0.000
Hf 0.500 0.500 0.500
Os 0.750 0.750 0.750
Rh 0.250 0.250 0.250

Properties
Spin magnetization: 0.00 μB/atom
Electronic total energy: -9.357 eV per atom

***

No. 3
Here is a relaxed HfZrOsRh crystal from the Alexandria database. Energies are from PBE.

abc: 4.637 4.637 4.637
angles: 60.00 60.00 60.00
Fractional coordinates of all 4 atoms:
Hf 0.000 0.000 0.000
Zr 0.500 0.500 0.500
Os 0.750 0.750 0.750
Rh 0.250 0.250 0.250

Properties
Spin magnetization: 0.00 μB/atom
Electronic total energy: -9.981 eV per atom

***

Q: What is the formula in the second record?
A: YHfOsRh

***

Q: Among the records above, which one has the highest electronic total energy?
A: HfOs2RhW